Here is a relaxed Dy2HfSe4 crystal from Alexandria via LeMat-Bulk. Energies are from GGA-PBE.

extended XYZ file:
```
7
Lattice="-0.9016 -1.2269 3.7012 6.4378 -2.9412 0.5933 -0.4891 7.5237 0.2111" Properties=species:S:1:pos:R:3 pbc="T T T"
Dy 1.1026 2.8683 1.2194
Dy 3.9445 0.4872 3.2862
Se 3.9416 3.1061 1.9899
Se 4.9015 -0.7666 0.9399
Se 0.1456 4.1222 3.5657
Se 1.1055 0.2494 2.5157
Hf 0.0000 0.0000 0.0000
```

Values from the calculation:
**Crystal system**: monoclinic
**Formation energy (no corrections)**: -152.4 kJ per mole of atoms
**DOS at the Fermi energy**: 1.3 states/eV per cell
**Total moment**: 0.00 μB/atom